[1]
First-principles (GGA-PBE) data for crystalline SrTeRh4 at its relaxed geometry, as listed in the Alexandria database.

Computed properties:
Formation energy from raw total energies = -0.048 eV/atom

a b c (Å): 7.6287 7.6287 7.6287
angles (deg): 90.00 90.00 90.00
Space group F-43m (No. 216)
Asymmetric unit:
Sr 0.0000 0.0000 0.0000 [4 per cell]
Te 0.2500 0.2500 0.7500 [4 per cell]
Rh 0.1241 0.1241 0.3759 [16 per cell]

***

[2]
First-principles (GGA-PBE) data for crystalline CaEuSb at its relaxed geometry, as listed in the Alexandria database.

Computed properties:
Formation energy from raw total energies = -0.643 eV/atom

a b c (Å): 4.2724 4.2724 10.2360
angles (deg): 90.00 90.00 90.00
Space group I4mm (No. 107)
Asymmetric unit:
Ca 0.0000 0.0000 0.0000 [2 per cell]
Eu 0.0000 0.0000 0.3045 [2 per cell]
Sb 0.0000 0.0000 0.6470 [2 per cell]

***

[3]
First-principles (GGA-PBE) data for crystalline GaAgGeRh2 at its relaxed geometry, as listed in the Alexandria database.

Computed properties:
Formation energy from the elements = 1203 meV/atom

a b c (Å): 4.9182 4.9182 4.5766
angles (deg): 90.00 90.00 90.00
Space group P4/mmm (No. 123)
Asymmetric unit:
Ga 0.0000 0.0000 0.0000 [1 per cell]
Ag 0.0000 0.0000 0.5000 [1 per cell]
Ge 0.5000 0.5000 0.0000 [1 per cell]
Rh 0.0000 0.5000 0.5000 [2 per cell]

***

no.,energy (eV per formula unit)
1,-34.52
2,-18.33
3,-19.18